This record from Alexandria via LeMat-Bulk describes a geometry-optimized CaSmMgNbO6 structure. The functional is GGA-PBEsol.

POSCAR file:
```
CaSmMgNbO6
1.0
5.431 0.000 0.000
0.000 5.668 0.000
-5.382 0.000 7.789
Ca Sm Mg Nb O
2 2 2 2 12
direct
0.000 0.197 0.000
0.000 0.803 0.500
0.466 0.315 0.496
0.466 0.685 0.996
0.233 0.246 0.748
0.233 0.754 0.248
0.734 0.242 0.248
0.734 0.758 0.748
0.091 0.058 0.302
0.091 0.942 0.802
0.393 0.447 0.199
0.393 0.553 0.699
0.490 0.050 0.691
0.490 0.950 0.191
0.589 0.285 0.003
0.589 0.715 0.503
0.872 0.212 0.494
0.872 0.788 0.994
0.988 0.463 0.805
0.988 0.537 0.305
```

Summary:
mass density	5.6	g/cm³
ΔE_f (raw)	-3.0292	eV per atom
SG	No. 7
E_tot	-8.155	eV/atom
spin magnetization	0.0	μB per formula unit